Tm3Cd2Au2: optimized geometry, GGA-PBE.

- DFT formation energy: -0.555 eV per atom
- Magnetic moment: 0.000 μB per formula unit
- Total energy: -3.669 eV per atom
- Crystal system: orthorhombic

Unit cell a=4.0402 b=3.5955 c=11.6720 alpha=90.00 beta=80.03 gamma=90.00
Atoms (fractional coordinates):
Au 0.2917 0.5000 0.4166
Tm 0.8399 0.0000 0.3202
Cd 0.5765 0.5000 0.8470
Tm 0.1601 0.0000 0.6798
Au 0.7083 0.5000 0.5834
Cd 0.4235 0.5000 0.1530
Tm 0.0000 0.0000 0.0000


Tm5Cd4Au: optimized geometry, GGA-PBE.

- DFT formation energy: -0.428 eV per atom
- Magnetic moment: 0.000 μB per formula unit
- Total energy: -3.358 eV per atom
- Crystal system: tetragonal

Unit cell a=3.6597 b=3.6597 c=18.3812 alpha=90.00 beta=90.00 gamma=90.00
Atoms (fractional coordinates):
Cd 0.0000 0.0000 0.1968
Tm 0.5000 0.5000 0.5000
Tm 0.5000 0.5000 0.9081
Cd 0.0000 0.0000 0.8032
Cd 0.0000 0.0000 0.6019
Cd 0.0000 0.0000 0.3981
Tm 0.5000 0.5000 0.7042
Au 0.0000 0.0000 0.0000
Tm 0.5000 0.5000 0.2958
Tm 0.5000 0.5000 0.0919


YTmCdAu: optimized geometry, GGA-PBE.

- DFT formation energy: -0.574 eV per atom
- Magnetic moment: 0.000 μB per formula unit
- Energy above the most stable polymorph in this dataset: 0.13 eV/f.u.
- Total energy: -4.356 eV per atom
- Crystal system: cubic

Unit cell a=5.1574 b=5.1574 c=5.1574 alpha=60.00 beta=60.00 gamma=60.00
Atoms (fractional coordinates):
Tm 0.2500 0.2500 0.2500
Cd 0.0000 0.0000 0.0000
Y 0.7500 0.7500 0.7500
Au 0.5000 0.5000 0.5000


> Number 3 is which compound?

YTmCdAu


> Which formula does entry 3 have?

YTmCdAu


> Which value of magnetic moment does entry 1 give?

0.000 μB per formula unit


> Which formula does entry 1 have?

Tm3Cd2Au2